Computed, not measured: a relaxed TbDyGa2Ag2 crystal at the PBE-GGA level of DFT. Values from VASP.

Calculated total energy in eV/atom: -4.00

```
&SYSTEM
  ibrav = 0, nat = 6, ntyp = 4
/
ATOMIC_SPECIES
Tb 158.93 Tb.upf
Dy 162.50 Dy.upf
Ga 69.72 Ga.upf
Ag 107.87 Ag.upf
CELL_PARAMETERS angstrom
4.603 0.000 0.000
-2.301 3.986 0.000
0.000 0.000 7.017
ATOMIC_POSITIONS angstrom
Tb 0.000 0.000 0.000
Dy 0.000 0.000 3.509
Ga 0.000 2.657 1.994
Ga 0.000 2.657 5.023
Ag 2.301 1.329 1.680
Ag 2.301 1.329 5.337
```